# 1
A plane-wave DFT calculation with PBE was carried out for a relaxed BaNi2Au2 crystal.

a = 4.488 Å, b = 4.488 Å, c = 10.351 Å
α = 90.00°, β = 90.00°, γ = 90.00°
Space group I4/mmm (No. 139)
Symmetry-distinct sites (fractional):
Ba (0.000, 0.000, 0.000) (multiplicity 2)
Ni (0.000, 0.000, 0.387) (multiplicity 4)
Au (0.000, 0.500, 0.250) (multiplicity 4)

Values from the calculation:
total energy = -41.0 eV for the cell shown
N(E_F) = 7.60 states/eV/cell
energy relative to the elements = -0.4 eV per formula unit

=====

# 2
A plane-wave DFT calculation with PBE was carried out for a relaxed AcLa2Dy crystal.

a = 5.281 Å, b = 5.281 Å, c = 5.319 Å
α = 90.00°, β = 90.00°, γ = 90.00°
Space group P4/mmm (No. 123)
Symmetry-distinct sites (fractional):
Ac (0.000, 0.000, 0.000) (multiplicity 1)
La (0.000, 0.500, 0.500) (multiplicity 2)
Dy (0.500, 0.500, 0.000) (multiplicity 1)

Values from the calculation:
total energy = -18.5 eV for the cell shown
N(E_F) = 5.35 states/eV/cell
energy relative to the elements = 0.1 eV per formula unit

=====

# 3
A plane-wave DFT calculation with PBE was carried out for a relaxed LuGaPb2 crystal.

a = 4.647 Å, b = 4.647 Å, c = 4.761 Å
α = 90.00°, β = 90.00°, γ = 90.00°
Space group P4/mmm (No. 123)
Symmetry-distinct sites (fractional):
Lu (0.000, 0.000, 0.000) (multiplicity 1)
Ga (0.500, 0.500, 0.000) (multiplicity 1)
Pb (0.000, 0.500, 0.500) (multiplicity 2)

Values from the calculation:
total energy = -15.8 eV for the cell shown
N(E_F) = 2.03 states/eV/cell
energy relative to the elements = -0.9 eV per formula unit